No. 1
Computed, not measured: crystalline Li2YCl4 at its relaxed geometry at the GGA-PBE level of DFT.

The crystal system is tetragonal. The value obtained for the uncorrected formation energy is -1.725 eV/atom.

The structure belongs to space group I4/m (No. 87); the cell edges are 8.015, 8.015 and 6.514 Å and the angles 90.00°, 90.00° and 90.00°. The distinct sites, in fractional coordinates, are Li at (0.000, 0.500, 0.250), Y at (0.000, 0.000, 0.000) and Cl at (0.115, 0.689, 0.000).


No. 2
Computed, not measured: crystalline Li2YCl at its relaxed geometry at the GGA-PBE level of DFT.

The energy above the most stable polymorph in this dataset is 808.4 meV/atom. The crystal system is cubic. The value obtained for the uncorrected formation energy is 0.096 eV/atom.

The structure belongs to space group Fm-3m (No. 225); the cell edges are 7.304, 7.304 and 7.304 Å and the angles 90.00°, 90.00° and 90.00°. The distinct sites, in fractional coordinates, are Li at (0.250, 0.250, 0.250), Y at (0.000, 0.000, 0.000) and Cl at (0.000, 0.000, 0.500).


No. 3
Computed, not measured: crystalline Li3YCl at its relaxed geometry at the GGA-PBE level of DFT.

The energy above the most stable polymorph in this dataset is 0.0 meV/atom. The crystal system is cubic. The value obtained for the uncorrected formation energy is -0.237 eV/atom.

The structure belongs to space group Pm-3m (No. 221); the cell edges are 4.881, 4.881 and 4.881 Å and the angles 90.00°, 90.00° and 90.00°. The distinct sites, in fractional coordinates, are Li at (0.000, 0.000, 0.500), Y at (0.500, 0.500, 0.500) and Cl at (0.000, 0.000, 0.000).